Li2CrRu | PBE-GGA | optimized geometry

Lattice parameters (Å, degrees): 2.601 2.601 9.193 90.00 90.00 114.08
Positions (direct):
Li 0.000 0.000 0.000
Li 0.500 0.500 0.286
Cr 0.500 0.500 0.750
Ru 0.000 0.000 0.530

Results
Symmetry   No. 35
Crystal system   orthorhombic
Energy of formation from the pure elements   0.26 eV/atom
ΔE to the lowest computed polymorph   0.0441 eV/atom

***

LiCrSbRu | PBE-GGA | optimized geometry

Lattice parameters (Å, degrees): 4.393 4.393 4.393 60.00 60.00 60.00
Positions (direct):
Li 0.000 0.000 0.000
Cr 0.250 0.250 0.250
Sb 0.750 0.750 0.750
Ru 0.500 0.500 0.500

Results
Symmetry   No. 216
Crystal system   cubic

***

LiCrSnRu | PBE-GGA | optimized geometry

Lattice parameters (Å, degrees): 4.364 4.364 4.364 60.00 60.00 60.00
Positions (direct):
Li 0.000 0.000 0.000
Cr 0.750 0.750 0.750
Sn 0.250 0.250 0.250
Ru 0.500 0.500 0.500

Results
Symmetry   No. 216
Crystal system   cubic
Energy of formation from the pure elements   -0.03 eV/atom

***

SrLiCr2Ru | PBE-GGA | optimized geometry

Lattice parameters (Å, degrees): 4.927 4.927 4.216 90.00 90.00 90.00
Positions (direct):
Sr 0.000 0.000 0.000
Li 0.000 0.000 0.500
Cr 0.000 0.500 0.000
Cr 0.500 0.000 0.000
Ru 0.500 0.500 0.500

Results
Symmetry   No. 123
Crystal system   tetragonal
Energy of formation from the pure elements   2.28 eV/atom

***

LiCr2TeRu | PBE-GGA | optimized geometry

Lattice parameters (Å, degrees): 4.398 4.398 4.234 90.00 90.00 90.00
Positions (direct):
Li 0.000 0.000 0.000
Cr 0.000 0.500 0.000
Cr 0.500 0.000 0.000
Te 0.500 0.500 0.500
Ru 0.000 0.000 0.500

Results
Symmetry   No. 123
Crystal system   tetragonal

***

LiZnCrRu | PBE-GGA | optimized geometry

Lattice parameters (Å, degrees): 4.168 4.168 4.168 60.00 60.00 60.00
Positions (direct):
Li 0.000 0.000 0.000
Zn 0.250 0.250 0.250
Cr 0.750 0.750 0.750
Ru 0.500 0.500 0.500

Results
Symmetry   No. 216
Crystal system   cubic
Energy of formation from the pure elements   0.09 eV/atom

***

LiCrS3 | PBE-GGA | optimized geometry

Lattice parameters (Å, degrees): 4.511 4.511 4.511 90.00 90.00 90.00
Positions (direct):
Li 0.000 0.000 0.000
Cr 0.500 0.500 0.500
S 0.000 0.500 0.500
S 0.500 0.000 0.500
S 0.500 0.500 0.000

Results
Symmetry   No. 221
Crystal system   cubic
ΔE to the lowest computed polymorph   0.0000 eV/atom

***

LiCr2S4 | PBE-GGA | optimized geometry

Lattice parameters (Å, degrees): 6.963 6.963 6.963 120.26 119.58 90.14
Positions (direct):
Li 0.000 0.000 0.000
Li 0.500 0.000 0.500
Cr 0.000 0.500 0.500
Cr 0.500 0.000 0.000
Cr 0.500 0.500 0.000
Cr 0.500 0.500 0.500
S 0.256 0.271 0.515
S 0.256 0.741 0.985
S 0.257 0.742 0.516
S 0.274 0.258 0.016
S 0.726 0.742 0.984
S 0.743 0.258 0.484
S 0.744 0.259 0.015
S 0.744 0.729 0.485

Results
Symmetry   No. 74
Crystal system   orthorhombic
ΔE to the lowest computed polymorph   0.0255 eV/atom

***

LiCr2S4 | PBE-GGA | optimized geometry

Lattice parameters (Å, degrees): 7.072 7.072 7.072 120.50 120.00 89.57
Positions (direct):
Li 0.500 0.000 0.000
Li 0.500 0.500 0.500
Cr 0.000 0.000 0.000
Cr 0.122 0.372 0.750
Cr 0.500 0.000 0.500
Cr 0.878 0.628 0.250
S 0.232 0.239 0.993
S 0.250 0.235 0.485
S 0.250 0.765 0.015
S 0.254 0.761 0.493
S 0.746 0.239 0.507
S 0.750 0.235 0.985
S 0.750 0.765 0.515
S 0.768 0.761 0.007

Results
Symmetry   No. 74
Crystal system   orthorhombic
ΔE to the lowest computed polymorph   0.1562 eV/atom

***

LiCrS2 | PBE-GGA | optimized geometry

Lattice parameters (Å, degrees): 6.547 6.547 6.547 28.88 28.88 28.88
Positions (direct):
Li 0.000 0.000 0.000
Cr 0.836 0.836 0.836
S 0.427 0.427 0.427
S 0.577 0.577 0.577

Results
Symmetry   No. 160
Crystal system   trigonal

***

LiCr2S4 | PBE-GGA | optimized geometry

Lattice parameters (Å, degrees): 11.809 6.877 5.819 90.00 90.00 90.00
Positions (direct):
Li 0.110 0.250 0.083
Li 0.390 0.750 0.583
Li 0.610 0.250 0.417
Li 0.890 0.750 0.917
Cr 0.000 0.000 0.500
Cr 0.000 0.500 0.500
Cr 0.236 0.750 0.000
Cr 0.264 0.250 0.500
Cr 0.500 0.000 0.000
Cr 0.500 0.500 0.000
Cr 0.736 0.750 0.500
Cr 0.764 0.250 0.000
S 0.075 0.750 0.754
S 0.087 0.250 0.697
S 0.175 0.513 0.294
S 0.175 0.987 0.294
S 0.325 0.013 0.794
S 0.325 0.487 0.794
S 0.413 0.750 0.197
S 0.425 0.250 0.254
S 0.575 0.750 0.746
S 0.587 0.250 0.803
S 0.675 0.513 0.206
S 0.675 0.987 0.206
S 0.825 0.013 0.706
S 0.825 0.487 0.706
S 0.913 0.750 0.303
S 0.925 0.250 0.246

Results
Symmetry   No. 62
Crystal system   orthorhombic
ΔE to the lowest computed polymorph   0.1067 eV/atom

***

Li2CrS | PBE-GGA | optimized geometry

Lattice parameters (Å, degrees): 5.645 5.645 5.645 98.58 98.58 134.56
Positions (direct):
Li 0.053 0.625 0.928
Li 0.375 0.303 0.428
Li 0.697 0.125 0.072
Li 0.875 0.947 0.572
Cr 0.250 0.750 0.500
Cr 0.500 0.500 0.000
S 0.000 0.000 0.000
S 0.750 0.250 0.500

Results
Symmetry   No. 122
Crystal system   tetragonal

***

| no. | total magnetization (μB per cell) | final energy (eV/f.u.) |
| --- | --- | --- |
| 1 | 0.0 | -21.70 |
| 2 | 2.0 | -25.28 |
| 3 | 1.0 | -24.94 |
| 4 | 8.5 | -20.72 |
| 5 | 7.1 | -28.61 |
| 6 | 0.0 | -21.73 |
| 7 | 0.0 | -24.89 |
| 8 | 10.0 | -43.13 |
| 9 | 10.0 | -42.22 |
| 10 | 1.0 | -22.91 |
| 11 | 20.0 | -42.57 |
| 12 | 0.0 | -17.44 |